[1]
{"formula": "Ac2La2PmEr", "functional": "PBE-GGA", "state": "relaxed", "lattice_angstrom": [[7.3968, 0.0000, 0.0000], [0.0000, 5.9676, 0.0000], [0.0000, 0.0000, 10.3306]], "species": ["Ac", "Ac", "Ac", "Ac", "La", "La", "La", "La", "Pm", "Pm", "Er", "Er"], "frac_coords": [[0.0000, 0.0000, 0.0000], [0.2500, 0.5000, 0.1742], [0.5000, 0.0000, 0.0000], [0.7500, 0.5000, 0.8258], [0.2500, 0.0000, 0.3438], [0.2500, 0.5000, 0.8274], [0.7500, 0.0000, 0.6562], [0.7500, 0.5000, 0.1726], [0.0000, 0.5000, 0.5000], [0.5000, 0.5000, 0.5000], [0.2500, 0.0000, 0.6643], [0.7500, 0.0000, 0.3357]], "ef_ev_per_atom": 0.0802, "crystal_system": "orthorhombic"}

---

[2]
{"formula": "MnSb3Pt", "functional": "PBE-GGA", "state": "relaxed", "lattice_angstrom": [[5.2216, 0.0000, 0.0000], [0.0000, 5.2216, 0.0000], [0.0000, 0.0000, 5.2216]], "species": ["Mn", "Sb", "Sb", "Sb", "Pt"], "frac_coords": [[0.0000, 0.0000, 0.0000], [0.0000, 0.5000, 0.5000], [0.5000, 0.0000, 0.5000], [0.5000, 0.5000, 0.0000], [0.5000, 0.5000, 0.5000]], "relative_energy_mev_per_atom": 649, "crystal_system": "cubic"}

---

DOS at the Fermi energy readings, ordered: 18.98, 5.46 states/eV per cell